--- w ---
{"formula": "Nd2Ho6Er", "functional": "PBE-GGA", "state": "optimized geometry", "space_group": "No. 15", "density_g_cm3": 8.28, "lattice_angstrom": [[6.394, -7.128, 0.000], [6.394, 7.128, 0.000], [-1.600, 0.000, 6.361]], "species": ["Nd", "Nd", "Nd", "Nd", "Ho", "Ho", "Ho", "Ho", "Ho", "Ho", "Ho", "Ho", "Ho", "Ho", "Ho", "Ho", "Er", "Er"], "frac_coords": [[0.118, 0.169, 0.374], [0.169, 0.118, 0.874], [0.831, 0.882, 0.126], [0.882, 0.831, 0.626], [0.039, 0.441, 0.730], [0.153, 0.776, 0.996], [0.224, 0.847, 0.504], [0.278, 0.459, 0.186], [0.441, 0.039, 0.230], [0.459, 0.278, 0.686], [0.541, 0.722, 0.314], [0.559, 0.961, 0.770], [0.722, 0.541, 0.814], [0.776, 0.153, 0.496], [0.847, 0.224, 0.004], [0.961, 0.559, 0.270], [0.383, 0.617, 0.750], [0.617, 0.383, 0.250]]}

---

--- x ---
{"formula": "Nd2Ho6Er", "functional": "PBE-GGA", "state": "optimized geometry", "space_group": "No. 136", "density_g_cm3": 8.38, "lattice_angstrom": [[10.653, 0.000, 0.000], [0.000, 10.653, 0.000], [0.000, 0.000, 5.044]], "species": ["Nd", "Nd", "Nd", "Nd", "Ho", "Ho", "Ho", "Ho", "Ho", "Ho", "Ho", "Ho", "Ho", "Ho", "Ho", "Ho", "Er", "Er"], "frac_coords": [[0.166, 0.166, 0.000], [0.334, 0.666, 0.500], [0.666, 0.334, 0.500], [0.834, 0.834, 0.000], [0.001, 0.334, 0.500], [0.166, 0.501, 0.000], [0.167, 0.833, 0.000], [0.333, 0.333, 0.500], [0.334, 0.001, 0.500], [0.499, 0.834, 0.000], [0.501, 0.166, 0.000], [0.666, 0.999, 0.500], [0.667, 0.667, 0.500], [0.833, 0.167, 0.000], [0.834, 0.499, 0.000], [0.999, 0.666, 0.500], [0.000, 0.000, 0.500], [0.500, 0.500, 0.000]]}

---

Relative energy of each structure, in kJ/mol of atoms: w 8.9; x 0.0.

---

--- w ---
{"formula": "NdHo4Er6", "functional": "PBE-GGA", "state": "optimized geometry", "space_group": "No. 63", "density_g_cm3": 8.69, "lattice_angstrom": [[2.812, -4.814, 0.000], [2.812, 4.814, 0.000], [0.000, 0.000, 25.526]], "species": ["Nd", "Nd", "Ho", "Ho", "Ho", "Ho", "Ho", "Ho", "Ho", "Ho", "Er", "Er", "Er", "Er", "Er", "Er", "Er", "Er", "Er", "Er", "Er", "Er"], "frac_coords": [[0.175, 0.825, 0.750], [0.825, 0.175, 0.250], [0.163, 0.837, 0.042], [0.163, 0.837, 0.458], [0.489, 0.511, 0.121], [0.489, 0.511, 0.379], [0.511, 0.489, 0.621], [0.511, 0.489, 0.879], [0.837, 0.163, 0.542], [0.837, 0.163, 0.958], [0.157, 0.843, 0.181], [0.157, 0.843, 0.319], [0.176, 0.824, 0.602], [0.176, 0.824, 0.898], [0.491, 0.509, 0.250], [0.500, 0.500, 0.000], [0.500, 0.500, 0.500], [0.509, 0.491, 0.750], [0.824, 0.176, 0.102], [0.824, 0.176, 0.398], [0.843, 0.157, 0.681], [0.843, 0.157, 0.819]]}

---

--- x ---
{"formula": "NdHo4Er6", "functional": "PBE-GGA", "state": "optimized geometry", "space_group": "No. 121", "density_g_cm3": 7.99, "lattice_angstrom": [[-3.823, 3.823, 6.429], [3.823, -3.823, 6.429], [3.823, 3.823, -6.429]], "species": ["Nd", "Ho", "Ho", "Ho", "Ho", "Er", "Er", "Er", "Er", "Er", "Er"], "frac_coords": [[0.000, 0.000, 0.000], [0.259, 0.259, 0.669], [0.410, 0.741, 0.000], [0.590, 0.590, 0.331], [0.741, 0.410, 0.000], [0.000, 0.500, 0.500], [0.064, 0.564, 0.000], [0.436, 0.436, 0.500], [0.500, 0.000, 0.500], [0.564, 0.064, 0.000], [0.936, 0.936, 0.500]]}

---

Relative energy of each structure, in kJ/mol of atoms: w 0.0; x 32.1.

---

--- w ---
{"formula": "NdHo7Er12", "functional": "PBE-GGA", "state": "optimized geometry", "space_group": "No. 204", "density_g_cm3": 7.82, "lattice_angstrom": [[-5.599, 5.599, 5.599], [5.599, -5.599, 5.599], [5.599, 5.599, -5.599]], "species": ["Nd", "Ho", "Ho", "Ho", "Ho", "Ho", "Ho", "Ho", "Er", "Er", "Er", "Er", "Er", "Er", "Er", "Er", "Er", "Er", "Er", "Er"], "frac_coords": [[0.000, 0.000, 0.000], [0.000, 0.000, 0.500], [0.000, 0.500, 0.000], [0.000, 0.500, 0.500], [0.500, 0.000, 0.000], [0.500, 0.000, 0.500], [0.500, 0.500, 0.000], [0.500, 0.500, 0.500], [0.001, 0.256, 0.744], [0.256, 0.256, 0.512], [0.256, 0.512, 0.256], [0.256, 0.744, 0.001], [0.256, 0.999, 0.744], [0.488, 0.744, 0.744], [0.512, 0.256, 0.256], [0.744, 0.001, 0.256], [0.744, 0.256, 0.999], [0.744, 0.488, 0.744], [0.744, 0.744, 0.488], [0.999, 0.744, 0.256]]}

---

--- x ---
{"formula": "NdHo7Er12", "functional": "PBE-GGA", "state": "optimized geometry", "space_group": "No. 148", "density_g_cm3": 8.70, "lattice_angstrom": [[6.362, 3.673, 4.500], [-6.362, 3.673, 4.500], [0.000, -7.346, 4.500]], "species": ["Nd", "Ho", "Ho", "Ho", "Ho", "Ho", "Ho", "Ho", "Er", "Er", "Er", "Er", "Er", "Er", "Er", "Er", "Er", "Er", "Er", "Er"], "frac_coords": [[0.000, 0.000, 0.000], [0.013, 0.080, 0.351], [0.080, 0.351, 0.013], [0.351, 0.013, 0.080], [0.500, 0.500, 0.500], [0.649, 0.987, 0.920], [0.920, 0.649, 0.987], [0.987, 0.920, 0.649], [0.145, 0.412, 0.475], [0.192, 0.749, 0.322], [0.251, 0.678, 0.808], [0.322, 0.192, 0.749], [0.412, 0.475, 0.145], [0.475, 0.145, 0.412], [0.525, 0.855, 0.588], [0.588, 0.525, 0.855], [0.678, 0.808, 0.251], [0.749, 0.322, 0.192], [0.808, 0.251, 0.678], [0.855, 0.588, 0.525]]}

---

Relative energy of each structure, in kJ/mol of atoms: w 40.1; x 0.0.

---

--- w ---
{"formula": "Nd3HoEr7", "functional": "PBE-GGA", "state": "optimized geometry", "space_group": "No. 71", "density_g_cm3": 8.12, "lattice_angstrom": [[-2.909, 5.563, 5.586], [2.909, -5.563, 5.586], [2.909, 5.563, -5.586]], "species": ["Nd", "Nd", "Nd", "Ho", "Er", "Er", "Er", "Er", "Er", "Er", "Er"], "frac_coords": [[0.000, 0.000, 0.000], [0.213, 0.713, 0.500], [0.787, 0.287, 0.500], [0.500, 0.500, 0.000], [0.010, 0.803, 0.207], [0.206, 0.500, 0.706], [0.404, 0.197, 0.207], [0.500, 0.000, 0.500], [0.596, 0.803, 0.793], [0.794, 0.500, 0.294], [0.990, 0.197, 0.793]]}

---

--- x ---
{"formula": "Nd3HoEr7", "functional": "PBE-GGA", "state": "optimized geometry", "space_group": "No. 10", "density_g_cm3": 8.20, "lattice_angstrom": [[6.931, 0.000, 0.000], [0.000, 5.491, 0.000], [-3.285, 0.000, 9.408]], "species": ["Nd", "Nd", "Nd", "Ho", "Er", "Er", "Er", "Er", "Er", "Er", "Er"], "frac_coords": [[0.000, 0.000, 0.000], [0.280, 0.500, 0.495], [0.720, 0.500, 0.505], [0.500, 0.000, 0.000], [0.000, 0.000, 0.500], [0.150, 0.500, 0.789], [0.321, 0.500, 0.137], [0.426, 0.000, 0.329], [0.574, 0.000, 0.671], [0.679, 0.500, 0.863], [0.850, 0.500, 0.211]]}

---

Relative energy of each structure, in kJ/mol of atoms: w 12.2; x 0.0.

---

--- w ---
{"formula": "NdHoEr2", "functional": "PBE-GGA", "state": "optimized geometry", "space_group": "No. 164", "density_g_cm3": 8.46, "lattice_angstrom": [[3.569, 0.000, 0.000], [-1.785, 3.091, 0.000], [0.000, 0.000, 11.451]], "species": ["Nd", "Ho", "Er", "Er"], "frac_coords": [[0.000, 0.000, 0.000], [0.000, 0.000, 0.500], [0.333, 0.667, 0.746], [0.667, 0.333, 0.254]]}

---

--- x ---
{"formula": "NdHoEr2", "functional": "PBE-GGA", "state": "optimized geometry", "space_group": "No. 166", "density_g_cm3": 8.44, "lattice_angstrom": [[1.778, 1.027, 11.558], [-1.778, 1.027, 11.558], [0.000, -2.053, 11.558]], "species": ["Nd", "Ho", "Er", "Er"], "frac_coords": [[0.000, 0.000, 0.000], [0.500, 0.500, 0.500], [0.249, 0.249, 0.249], [0.751, 0.751, 0.751]]}

---

--- y ---
{"formula": "NdHoEr2", "functional": "PBE-GGA", "state": "optimized geometry", "space_group": "No. 225", "density_g_cm3": 8.31, "lattice_angstrom": [[0.000, 4.007, 4.007], [4.007, 0.000, 4.007], [4.007, 4.007, 0.000]], "species": ["Nd", "Ho", "Er", "Er"], "frac_coords": [[0.000, 0.000, 0.000], [0.500, 0.500, 0.500], [0.250, 0.250, 0.250], [0.750, 0.750, 0.750]]}

---

--- z ---
{"formula": "NdHoEr2", "functional": "PBE-GGA", "state": "optimized geometry", "space_group": "No. 13", "density_g_cm3": 8.30, "lattice_angstrom": [[6.277, 0.000, 0.000], [0.000, 7.251, 0.000], [-0.011, 0.000, 11.318]], "species": ["Nd", "Nd", "Nd", "Nd", "Ho", "Ho", "Ho", "Ho", "Er", "Er", "Er", "Er", "Er", "Er", "Er", "Er"], "frac_coords": [[0.167, 0.250, 0.377], [0.167, 0.750, 0.877], [0.833, 0.250, 0.123], [0.833, 0.750, 0.623], [0.335, 0.001, 0.625], [0.335, 0.999, 0.125], [0.665, 0.001, 0.875], [0.665, 0.999, 0.375], [0.168, 0.251, 0.873], [0.168, 0.749, 0.373], [0.335, 0.499, 0.625], [0.335, 0.501, 0.125], [0.665, 0.499, 0.875], [0.665, 0.501, 0.375], [0.832, 0.251, 0.627], [0.832, 0.749, 0.127]]}

---

Relative energy of each structure, in kJ/mol of atoms: w 0.0; x 2.0; y 11.9; z 0.9.

---

--- w ---
{"formula": "Nd3Ho6Er", "functional": "PBE-GGA", "state": "optimized geometry", "space_group": "No. 12", "density_g_cm3": 7.93, "lattice_angstrom": [[5.762, -3.283, 0.000], [5.762, 3.283, 0.000], [-4.031, 0.000, 8.796]], "species": ["Nd", "Nd", "Nd", "Ho", "Ho", "Ho", "Ho", "Ho", "Ho", "Er"], "frac_coords": [[0.000, 0.000, 0.000], [0.071, 0.071, 0.699], [0.929, 0.929, 0.301], [0.067, 0.560, 0.688], [0.363, 0.363, 0.079], [0.440, 0.933, 0.312], [0.560, 0.067, 0.688], [0.637, 0.637, 0.921], [0.933, 0.440, 0.312], [0.500, 0.500, 0.500]]}

---

--- x ---
{"formula": "Nd3Ho6Er", "functional": "PBE-GGA", "state": "optimized geometry", "space_group": "No. 36", "density_g_cm3": 8.08, "lattice_angstrom": [[5.474, -9.434, 0.000], [5.474, 9.434, 0.000], [0.000, 0.000, 6.329]], "species": ["Nd", "Nd", "Nd", "Nd", "Nd", "Nd", "Ho", "Ho", "Ho", "Ho", "Ho", "Ho", "Ho", "Ho", "Ho", "Ho", "Ho", "Ho", "Er", "Er"], "frac_coords": [[0.112, 0.888, 0.500], [0.212, 0.438, 0.106], [0.438, 0.212, 0.606], [0.562, 0.788, 0.106], [0.788, 0.562, 0.606], [0.888, 0.112, 0.000], [0.031, 0.450, 0.700], [0.121, 0.213, 0.522], [0.213, 0.121, 0.022], [0.228, 0.772, 0.922], [0.450, 0.031, 0.200], [0.460, 0.540, 0.693], [0.540, 0.460, 0.193], [0.550, 0.969, 0.700], [0.772, 0.228, 0.422], [0.787, 0.879, 0.522], [0.879, 0.787, 0.022], [0.969, 0.550, 0.200], [0.303, 0.697, 0.438], [0.697, 0.303, 0.938]]}

---

Relative energy of each structure, in kJ/mol of atoms: w 7.3; x 0.0.

---

--- w ---
{"formula": "NdHo2Er2", "functional": "PBE-GGA", "state": "optimized geometry", "space_group": "No. 70", "density_g_cm3": 7.45, "lattice_angstrom": [[0.000, 5.803, 11.285], [2.752, 0.000, 11.285], [2.752, 5.803, 0.000]], "species": ["Nd", "Nd", "Ho", "Ho", "Ho", "Ho", "Er", "Er", "Er", "Er"], "frac_coords": [[0.125, 0.125, 0.125], [0.875, 0.875, 0.875], [0.205, 0.545, 0.205], [0.455, 0.795, 0.455], [0.545, 0.205, 0.545], [0.795, 0.455, 0.795], [0.000, 0.000, 0.000], [0.000, 0.000, 0.500], [0.000, 0.500, 0.000], [0.500, 0.000, 0.000]]}

---

--- x ---
{"formula": "NdHo2Er2", "functional": "PBE-GGA", "state": "optimized geometry", "space_group": "No. 127", "density_g_cm3": 8.32, "lattice_angstrom": [[9.352, 0.000, 0.000], [0.000, 9.352, 0.000], [0.000, 0.000, 3.692]], "species": ["Nd", "Nd", "Ho", "Ho", "Ho", "Ho", "Er", "Er", "Er", "Er"], "frac_coords": [[0.000, 0.000, 0.000], [0.500, 0.500, 0.000], [0.125, 0.375, 0.000], [0.375, 0.875, 0.000], [0.625, 0.125, 0.000], [0.875, 0.625, 0.000], [0.172, 0.672, 0.500], [0.328, 0.172, 0.500], [0.672, 0.828, 0.500], [0.828, 0.328, 0.500]]}

---

Relative energy of each structure, in kJ/mol of atoms: w 41.6; x 0.0.

---

--- w ---
{"formula": "Nd7Ho4Er", "functional": "PBE-GGA", "state": "optimized geometry", "space_group": "No. 2", "density_g_cm3": 7.59, "lattice_angstrom": [[6.318, 0.000, 0.000], [0.002, 7.281, 0.000], [2.099, 0.005, 8.734]], "species": ["Nd", "Nd", "Nd", "Nd", "Nd", "Nd", "Nd", "Ho", "Ho", "Ho", "Ho", "Er"], "frac_coords": [[0.000, 0.000, 0.000], [0.221, 0.500, 0.335], [0.280, 0.751, 0.666], [0.499, 0.248, 0.998], [0.501, 0.752, 0.002], [0.720, 0.249, 0.334], [0.779, 0.500, 0.665], [0.220, 0.000, 0.336], [0.278, 0.248, 0.668], [0.722, 0.752, 0.332], [0.780, 0.000, 0.664], [0.000, 0.500, 0.000]]}

---

--- x ---
{"formula": "Nd7Ho4Er", "functional": "PBE-GGA", "state": "optimized geometry", "space_group": "No. 12", "density_g_cm3": 7.44, "lattice_angstrom": [[8.089, -3.001, 0.000], [8.089, 3.001, 0.000], [-4.156, 0.000, 8.444]], "species": ["Nd", "Nd", "Nd", "Nd", "Nd", "Nd", "Nd", "Ho", "Ho", "Ho", "Ho", "Er"], "frac_coords": [[0.000, 0.000, 0.000], [0.290, 0.290, 0.118], [0.290, 0.290, 0.767], [0.416, 0.416, 0.555], [0.584, 0.584, 0.445], [0.710, 0.710, 0.233], [0.710, 0.710, 0.882], [0.071, 0.071, 0.697], [0.172, 0.172, 0.387], [0.828, 0.828, 0.613], [0.929, 0.929, 0.303], [0.500, 0.500, 0.000]]}

---

Relative energy of each structure, in kJ/mol of atoms: w 0.0; x 20.5.

---

--- w ---
{"formula": "NdHo6Er2", "functional": "PBE-GGA", "state": "optimized geometry", "space_group": "No. 160", "density_g_cm3": 8.32, "lattice_angstrom": [[3.652, 2.108, 6.343], [-3.652, 2.108, 6.343], [0.000, -4.217, 6.343]], "species": ["Nd", "Ho", "Ho", "Ho", "Ho", "Ho", "Ho", "Er", "Er"], "frac_coords": [[0.000, 0.000, 0.000], [0.055, 0.055, 0.535], [0.055, 0.535, 0.055], [0.270, 0.270, 0.703], [0.270, 0.703, 0.270], [0.535, 0.055, 0.055], [0.703, 0.270, 0.270], [0.561, 0.561, 0.561], [0.737, 0.737, 0.737]]}

---

--- x ---
{"formula": "NdHo6Er2", "functional": "PBE-GGA", "state": "optimized geometry", "space_group": "No. 65", "density_g_cm3": 8.68, "lattice_angstrom": [[2.794, -14.486, 0.000], [2.794, 14.486, 0.000], [0.000, 0.000, 3.472]], "species": ["Nd", "Ho", "Ho", "Ho", "Ho", "Ho", "Ho", "Er", "Er"], "frac_coords": [[0.000, 0.000, 0.000], [0.113, 0.887, 0.500], [0.223, 0.777, 0.500], [0.443, 0.557, 0.500], [0.557, 0.443, 0.500], [0.777, 0.223, 0.500], [0.887, 0.113, 0.500], [0.333, 0.667, 0.000], [0.667, 0.333, 0.000]]}

---

Relative energy of each structure, in kJ/mol of atoms: w 27.3; x 0.0.